Density functional theory data (PBE-GGA) for a geometry-optimized AgOsSe2 structure.

- M_tot (μB per formula unit) = 0.0
- total energy (eV for the cell shown) = -39.737

Cell and atoms, written as CIF:
```
data_AgOsSe2
_cell_length_a 3.0105
_cell_length_b 4.8325
_cell_length_c 11.4468
_cell_angle_alpha 90.00
_cell_angle_beta 90.00
_cell_angle_gamma 90.00
_symmetry_space_group_name_H-M 'I m m m'
_symmetry_Int_Tables_number 71
_symmetry_space_group_name_Hall '-I 2 2'
loop_
_atom_site_label
_atom_site_fract_x
_atom_site_fract_y
_atom_site_fract_z
Ag1 0.0000 0.0000 0.0000
Os1 0.0000 0.0000 0.5000
Se1 0.0000 0.5000 0.1718
```

Density functional theory data (PBE-GGA) for a geometry-optimized AgOs2Se structure.

- M_tot (μB per formula unit) = 0.0
- total energy (eV for the cell shown) = -24.789

Cell and atoms, written as CIF:
```
data_AgOs2Se
_cell_length_a 2.7928
_cell_length_b 4.7276
_cell_length_c 4.9324
_cell_angle_alpha 90.00
_cell_angle_beta 90.00
_cell_angle_gamma 90.00
_symmetry_space_group_name_H-M 'P m m m'
_symmetry_Int_Tables_number 47
loop_
_symmetry_equiv_pos_as_xyz
'x,y,z'
'-x,-y,-z'
'-x,-y,z'
'x,y,-z'
'x,-y,-z'
'-x,y,z'
'-x,y,-z'
'x,-y,z'
loop_
_atom_site_label
_atom_site_fract_x
_atom_site_fract_y
_atom_site_fract_z
Ag1 0.0000 0.0000 0.0000
Os1 0.0000 0.5000 0.5000
Os2 0.5000 0.0000 0.5000
Se1 0.5000 0.5000 0.0000
```

Density functional theory data (PBE-GGA) for a geometry-optimized AgOsSe2 structure.

- M_tot (μB per formula unit) = 0.0
- total energy (eV for the cell shown) = -19.578

Cell and atoms, written as CIF:
```
data_AgOsSe2
_cell_length_a 3.2673
_cell_length_b 3.8032
_cell_length_c 7.1626
_cell_angle_alpha 90.00
_cell_angle_beta 102.92
_cell_angle_gamma 90.00
_symmetry_space_group_name_H-M 'P 1 m 1'
_symmetry_Int_Tables_number 6
loop_
_symmetry_equiv_pos_as_xyz
'x,y,z'
'x,-y,z'
loop_
_atom_site_label
_atom_site_fract_x
_atom_site_fract_y
_atom_site_fract_z
Ag1 0.0000 0.0000 0.0000
Os1 0.6010 0.5000 0.2065
Se1 0.4280 0.5000 0.8537
Se2 0.7023 0.0000 0.4130
```